Entry 1:
Here is a geometry-optimized ScCuRh structure from the Alexandria database. Energies are from PBE.

Cell lengths 4.565, 5.271, 7.867 Å; angles 90.00, 90.00, 90.00 degrees
Fractional coordinates of all 12 atoms:
Cu (0.500, 0.750, 0.750)
Cu (0.000, 0.250, 0.250)
Cu (0.000, 0.750, 0.250)
Cu (0.500, 0.250, 0.750)
Sc (0.000, 0.500, 0.586)
Sc (0.500, 0.000, 0.414)
Sc (0.000, 0.000, 0.914)
Sc (0.500, 0.500, 0.086)
Rh (0.500, 0.500, 0.421)
Rh (0.500, 0.000, 0.079)
Rh (0.000, 0.000, 0.579)
Rh (0.000, 0.500, 0.921)

Properties
Energy above the most stable polymorph in this dataset   3 meV/atom
ΔH_f (0 K)   -0.509 eV per atom
Symmetry   Cmcm, No. 63
Final energy   -6.435 eV per atom

---

Entry 2:
Here is a geometry-optimized Cs3YMo structure from the Alexandria database. Energies are from PBE.

Cell lengths 6.216, 6.216, 6.216 Å; angles 90.00, 90.00, 90.00 degrees
Site moments in Bohr magnetons follow the coordinates.
Fractional coordinates of all 5 atoms:
Cs (0.000, 0.000, 0.500)  0.03
Cs (0.500, 0.000, 0.000)  0.01
Cs (0.000, 0.500, 0.000)  0.03
Mo (0.000, 0.000, 0.000)  0.19
Y (0.500, 0.500, 0.500)  0.50

Properties
Energy above the most stable polymorph in this dataset   0 meV/atom
ΔH_f (0 K)   1.814 eV per atom
Symmetry   Pm-3m, No. 221
Final energy   -2.157 eV per atom

---

Entry 3:
Here is a geometry-optimized Na4AlBi3S8 structure from the Alexandria database. Energies are from PBE.

Cell lengths 7.933, 8.170, 7.933 Å; angles 119.05, 120.00, 90.00 degrees
Fractional coordinates of all 16 atoms:
S (0.778, 0.281, 0.003)
S (0.252, 0.257, 0.505)
S (0.777, 0.281, 0.555)
S (0.226, 0.281, 0.003)
S (0.748, 0.743, 0.495)
S (0.774, 0.719, 0.997)
S (0.222, 0.719, 0.997)
S (0.223, 0.719, 0.445)
Na (0.000, 0.000, 0.000)
Na (0.500, 0.000, 0.000)
Na (0.000, 0.000, 0.500)
Na (0.500, 0.000, 0.500)
Bi (0.500, 0.500, 0.000)
Bi (0.500, 0.500, 0.500)
Bi (0.000, 0.500, 0.500)
Al (0.000, 0.500, 0.000)

Properties
Uncorrected formation energy   -1261 kJ/mol of formula units
Symmetry   R-3m, No. 166
Final energy   -4.172 eV per atom

---

Entry 4:
Here is a geometry-optimized CrNiHOs2 structure from the Alexandria database. Energies are from PBE.

Cell lengths 3.859, 3.628, 3.859 Å; angles 90.00, 90.00, 90.00 degrees
Fractional coordinates of all 5 atoms:
H (0.000, 0.000, 0.000)
Cr (0.500, 0.500, 0.500)
Os (0.000, 0.000, 0.500)
Os (0.500, 0.000, 0.000)
Ni (0.000, 0.500, 0.000)

Properties
Symmetry   P4/mmm, No. 123
Final energy   -8.028 eV per atom

---

| no. | DOS(E_F) (states/eV/atom) | total magnetization (Bohr magnetons per cell) | density (Mg/m³) |
| --- | --- | --- | --- |
| 1 | 0.5984 | 0.000 | 7.419 |
| 2 | 1.7360 | 1.681 | 4.035 |
| 3 | 0.0000 | 0.000 | 4.515 |
| 4 | 1.1334 | 0.000 | 15.131 |